PBE-GGA Cs2CuGeSe4, relaxed; SG = No. 70; formation energy from raw total energies = -0.679 eV per atom; density of states at the Fermi level = 13.07 states/eV per cell; total moment = 0.000 μB per atom
1.0
0.000 7.386 12.078
3.176 0.000 12.078
3.176 7.386 0.000
Cs Cu Ge Se
4 2 2 8
Cartesian
2.382 5.539 1.291
3.970 9.232 7.330
2.382 5.539 16.826
3.970 9.232 22.865
0.794 1.846 3.019
5.558 12.925 21.136
2.382 5.539 9.058
3.970 9.232 15.097
2.441 3.210 4.243
3.911 6.903 10.282
2.323 7.869 4.243
2.323 3.210 13.874
4.029 11.562 10.282
4.029 6.903 19.912
2.441 7.869 13.874
3.911 11.562 19.912